one:
InTeCl2, relaxed, DFT PBE; space-group type = Pnna (52)
1.0
5.694 0.000 0.000
0.000 6.922 -0.003
0.000 0.006 14.018
Cl In Te
8 4 4
Direct
0.755 0.419 0.441
0.255 0.580 0.941
0.245 0.581 0.559
0.245 0.080 0.441
0.255 0.081 0.059
0.745 0.420 0.059
0.745 0.919 0.941
0.755 0.920 0.559
0.500 0.250 0.935
0.000 0.250 0.565
0.500 0.750 0.065
0.000 0.750 0.435
0.750 0.829 0.250
0.250 0.171 0.750
0.750 0.329 0.750
0.250 0.671 0.250

---

two:
InTeCl2, relaxed, DFT PBE; space-group type = Immm (71)
1.0
6.095 -0.002 0.006
5.156 3.250 0.006
3.627 1.047 5.490
In Cl Te
1 2 1
Direct
0.750 0.750 0.750
0.993 0.993 0.007
0.507 0.507 0.493
0.250 0.250 0.250

---

Which is the most stable structure? one is the most stable.

---

one:
InTeCl2, relaxed, DFT PBE; space-group type = C2/m (12)
1.0
5.983 -0.137 0.012
-3.631 5.597 -0.131
1.023 0.657 3.194
Cl Te In
2 1 1
Direct
0.000 0.000 0.000
0.000 0.500 0.500
0.500 0.000 0.500
0.500 0.500 0.000

---

two:
InTeCl2, relaxed, DFT PBE; space-group type = P2/m (10)
1.0
-0.881 3.254 -0.604
-4.373 -1.953 -4.142
-3.602 -0.265 3.830
In Cl Te
1 2 1
Direct
0.500 0.500 0.500
0.000 0.000 0.000
0.500 0.500 0.000
0.000 0.000 0.500

---

three:
InTeCl2, relaxed, DFT PBE; space-group type = Pmmm (47)
1.0
-2.305 -2.465 0.123
1.266 -0.970 4.307
-4.384 4.212 2.236
Cl In Te
2 1 1
Direct
0.000 0.000 0.998
0.000 0.000 0.502
0.500 0.500 0.250
0.500 0.500 0.750

---

four:
InTeCl2, relaxed, DFT PBE; space-group type = Pmmm (47)
1.0
4.707 0.000 0.000
0.000 4.694 0.000
0.000 0.000 5.241
In Te Cl
1 1 2
Direct
0.000 0.000 0.625
0.500 0.500 0.625
0.000 0.000 0.125
0.500 0.500 0.125

---

Which is the most stable structure? four is the most stable.

---

one:
InTeCl2, relaxed, DFT PBE; space-group type = R-3m (166)
1.0
10.216 0.024 0.014
9.552 3.623 0.014
9.552 1.762 3.166
Te In Cl
1 1 2
Direct
0.750 0.750 0.750
0.250 0.250 0.250
0.975 0.975 0.975
0.525 0.525 0.525

---

two:
InTeCl2, relaxed, DFT PBE; space-group type = R-3m (166)
1.0
2.168 0.000 9.693
-1.084 1.878 9.693
-1.084 -1.878 9.693
Cl Te In
2 1 1
Direct
0.089 0.089 0.089
0.911 0.911 0.911
0.000 0.000 0.000
0.500 0.500 0.500

---

Which is the most stable structure? two is the most stable.

---

one:
InTeCl2, relaxed, DFT PBE; space-group type = Cmm2 (35)
1.0
4.148 -0.021 0.000
-1.858 3.709 0.000
0.000 0.000 8.587
Te Cl In
1 2 1
Direct
0.500 0.500 0.741
0.000 0.000 0.931
0.500 0.500 0.315
0.000 0.000 0.513

---

two:
InTeCl2, relaxed, DFT PBE; space-group type = P4mm (99)
1.0
3.628 0.000 0.000
0.000 3.628 0.000
0.000 0.000 8.434
Cl In Te
2 1 1
Direct
0.000 0.000 0.937
0.500 0.500 0.323
0.000 0.000 0.498
0.500 0.500 0.742

---

three:
InTeCl2, relaxed, DFT PBE; space-group type = Cmmm (65)
1.0
3.350 -0.006 0.000
0.000 3.350 0.000
0.000 0.000 11.138
In Cl Te
1 2 1
Direct
0.500 0.500 0.250
0.000 0.000 0.102
0.000 0.000 0.398
0.500 0.500 0.750

---

Which is the most stable structure? three is the most stable.

---

one:
InTeCl2, relaxed, DFT PBE; space-group type = I-4m2 (119)
1.0
-1.665 4.738 -2.627
-5.072 1.584 1.972
4.827 -1.368 2.637
In Cl Te
1 2 1
Direct
0.500 0.500 0.000
0.000 0.000 0.000
0.250 0.750 0.500
0.750 0.250 0.500

---

two:
InTeCl2, relaxed, DFT PBE; space-group type = I-42d (122)
1.0
-7.600 -1.308 -6.005
-5.636 -2.327 7.640
-7.355 1.008 1.134
In Te Cl
2 2 4
Direct
0.500 0.500 0.000
0.250 0.750 0.500
0.000 0.000 0.000
0.750 0.250 0.500
0.875 0.715 0.750
0.375 0.535 0.750
0.285 0.625 0.250
0.465 0.125 0.250

---

Which is the most stable structure? two is the most stable.

---

one:
InTeCl2, relaxed, DFT PBE; space-group type = R3m (160)
1.0
-5.282 2.278 -5.563
-5.448 -2.137 -5.458
-7.623 0.229 -2.424
In Cl Te
1 2 1
Direct
0.491 0.491 0.491
0.221 0.221 0.221
0.023 0.023 0.023
0.765 0.765 0.765

---

two:
InTeCl2, relaxed, DFT PBE; space-group type = F-43m (216)
1.0
5.143 0.000 0.000
2.572 4.454 0.000
2.572 1.485 4.199
Te Cl In
1 2 1
Direct
0.750 0.750 0.750
0.250 0.250 0.250
0.000 0.000 0.000
0.500 0.500 0.500

---

Which is the most stable structure? one is the most stable.

---

one:
InTeCl2, relaxed, DFT PBE; space-group type = I4/mmm (139)
1.0
5.705 -0.001 0.000
1.981 5.350 0.000
-3.843 -2.675 3.260
Cl Te In
2 1 1
Direct
0.500 0.500 0.000
0.000 0.000 0.000
0.750 0.250 0.500
0.250 0.750 0.500

---

two:
InTeCl2, relaxed, DFT PBE; space-group type = Pm (6)
1.0
-3.915 -3.919 2.357
2.829 -3.285 -0.764
3.985 -1.650 3.875
In Te Cl
1 1 2
Direct
0.000 0.625 0.701
0.500 0.666 0.618
0.000 0.893 0.040
0.500 0.316 0.141

---

three:
InTeCl2, relaxed, DFT PBE; space-group type = Fm-3m (225)
1.0
-4.149 -3.271 -1.361
-4.791 2.145 -1.488
-1.634 -0.316 -5.196
Cl In Te
2 1 1
Direct
0.250 0.250 0.250
0.750 0.750 0.750
0.000 0.000 0.000
0.500 0.500 0.500

---

four:
InTeCl2, relaxed, DFT PBE; space-group type = P2/m (10)
1.0
-1.774 2.630 -3.470
2.405 -2.802 -3.353
-4.000 -3.051 -0.267
Cl In Te
2 1 1
Direct
0.000 0.521 0.521
0.000 0.979 0.979
0.500 0.250 0.250
0.500 0.750 0.750

---

Which is the most stable structure? two is the most stable.

---

one:
In2Te2Cl, relaxed, DFT PBE; space-group type = P4/mbm (127)
1.0
-0.203 -4.944 -6.933
-0.947 -6.879 4.933
-3.926 0.412 -0.179
In Te Cl
4 4 2
Direct
0.348 0.152 0.500
0.152 0.652 0.500
0.848 0.348 0.500
0.652 0.848 0.500
0.348 0.848 0.000
0.152 0.348 0.000
0.652 0.152 0.000
0.848 0.652 0.000
0.500 0.500 0.000
0.000 0.000 0.000

---

two:
In2Te2Cl, relaxed, DFT PBE; space-group type = I4/mmm (139)
1.0
-4.148 2.696 -1.348
1.161 -0.686 -4.947
-4.968 -4.376 -3.217
In Te Cl
2 2 1
Direct
0.750 0.250 0.500
0.250 0.750 0.500
0.365 0.365 0.270
0.635 0.635 0.730
0.000 0.000 0.000

---

Which is the most stable structure? two is the most stable.